1.
# SnBRh3 (PBE, relaxed)
data_SnBRh3
_symmetry_space_group_name_H-M 'P 4 m m'
_symmetry_Int_Tables_number 99
_cell_length_a 3.812
_cell_length_b 3.812
_cell_length_c 6.399
_cell_angle_alpha 90.00
_cell_angle_beta 90.00
_cell_angle_gamma 90.00
loop_
_symmetry_equiv_pos_as_xyz
'x,y,z'
'-y,x,z'
'-x,-y,z'
'y,-x,z'
'-x,y,z'
'y,x,z'
'x,-y,z'
'-y,-x,z'
loop_
_atom_site_label
_atom_site_type_symbol
_atom_site_fract_x
_atom_site_fract_y
_atom_site_fract_z
Sn1 Sn 0.000 0.000 0.000
B1 B 0.500 0.500 0.440
Rh1 Rh 0.000 0.000 0.602
Rh2 Rh 0.000 0.500 0.301
# - D(E_F) (states/eV/atom) = 1.177
# - calculated volume (Å³ per atom) = 18.595
# - formation energy (meV/atom) = 191.2
# - crystal system = tetragonal
# - electronic total energy (eV per atom) = -6.3557


2.
# MnHgBr3 (PBE, relaxed)
data_MnHgBr3
_symmetry_space_group_name_H-M 'C 1 2/m 1'
_symmetry_Int_Tables_number 12
_cell_length_a 12.400
_cell_length_b 5.543
_cell_length_c 8.802
_cell_angle_alpha 90.00
_cell_angle_beta 93.56
_cell_angle_gamma 90.00
loop_
_symmetry_equiv_pos_as_xyz
'x,y,z'
'-x,-y,-z'
'-x,y,-z'
'x,-y,z'
'x+1/2,y+1/2,z'
'-x+1/2,-y+1/2,-z'
'-x+1/2,y+1/2,-z'
'x+1/2,-y+1/2,z'
loop_
_atom_site_label
_atom_site_type_symbol
_atom_site_fract_x
_atom_site_fract_y
_atom_site_fract_z
Mn1 Mn 0.142 0.000 0.439
Hg1 Hg 0.096 0.500 0.945
Br1 Br 0.049 0.000 0.702
Br2 Br 0.160 0.500 0.439
Br3 Br 0.207 0.000 0.142
# - calculated volume (Å³ per atom) = 30.191
# - crystal system = monoclinic
# - electronic total energy (eV per atom) = -3.4991


3.
# Be2PAu (PBE, relaxed)
data_Be2PAu
_symmetry_space_group_name_H-M 'I -4 2 d'
_symmetry_Int_Tables_number 122
_symmetry_space_group_name_Hall 'I -4 2bw'
_cell_length_a 5.073
_cell_length_b 5.073
_cell_length_c 10.515
_cell_angle_alpha 90.00
_cell_angle_beta 90.00
_cell_angle_gamma 90.00
loop_
_atom_site_label
_atom_site_type_symbol
_atom_site_fract_x
_atom_site_fract_y
_atom_site_fract_z
Be1 Be 0.204 0.250 0.125
P1 P 0.000 0.000 0.000
Au1 Au 0.000 0.000 0.500
# - D(E_F) (states/eV/atom) = 0.000
# - calculated volume (Å³ per atom) = 16.912
# - formation energy (meV/atom) = 21.0
# - crystal system = tetragonal
# - electronic total energy (eV per atom) = -4.0139


4.
# MoOs3 (PBE, relaxed)
data_MoOs3
_symmetry_space_group_name_H-M 'P m -3 m'
_symmetry_Int_Tables_number 221
_symmetry_space_group_name_Hall '-P 4 2 3'
_cell_length_a 4.737
_cell_length_b 4.737
_cell_length_c 4.737
_cell_angle_alpha 90.00
_cell_angle_beta 90.00
_cell_angle_gamma 90.00
loop_
_atom_site_label
_atom_site_type_symbol
_atom_site_fract_x
_atom_site_fract_y
_atom_site_fract_z
Mo1 Mo 0.000 0.000 0.000
Os1 Os 0.000 0.000 0.500
# - D(E_F) (states/eV/atom) = 1.224
# - calculated volume (Å³ per atom) = 26.571
# - formation energy (meV/atom) = 3123.2
# - crystal system = cubic
# - electronic total energy (eV per atom) = -8.0069


5.
# PrEu2Dy (PBE, relaxed)
data_PrEu2Dy
_symmetry_space_group_name_H-M 'P 4/m m m'
_symmetry_Int_Tables_number 123
_symmetry_space_group_name_Hall '-P 4 2'
_cell_length_a 6.007
_cell_length_b 6.007
_cell_length_c 4.073
_cell_angle_alpha 90.00
_cell_angle_beta 90.00
_cell_angle_gamma 90.00
loop_
_atom_site_label
_atom_site_type_symbol
_atom_site_fract_x
_atom_site_fract_y
_atom_site_fract_z
Pr1 Pr 0.000 0.000 0.000
Eu1 Eu 0.000 0.500 0.500
Dy1 Dy 0.500 0.500 0.000
# - D(E_F) (states/eV/atom) = 1.409
# - calculated volume (Å³ per atom) = 36.744
# - formation energy (meV/atom) = 149.1
# - crystal system = tetragonal
# - electronic total energy (eV per atom) = -7.3335


6.
# LaHo12Al3 (PBE, relaxed)
data_LaHo12Al3
_symmetry_space_group_name_H-M 'P 4/m m m'
_symmetry_Int_Tables_number 123
_symmetry_space_group_name_Hall '-P 4 2'
_cell_length_a 4.777
_cell_length_b 4.777
_cell_length_c 19.630
_cell_angle_alpha 90.00
_cell_angle_beta 90.00
_cell_angle_gamma 90.00
loop_
_atom_site_label
_atom_site_type_symbol
_atom_site_fract_x
_atom_site_fract_y
_atom_site_fract_z
La1 La 0.000 0.000 0.000
Ho1 Ho 0.000 0.500 0.139
Ho2 Ho 0.000 0.500 0.380
Ho3 Ho 0.500 0.500 0.000
Ho4 Ho 0.500 0.500 0.260
Ho5 Ho 0.500 0.500 0.500
Al1 Al 0.000 0.000 0.260
Al2 Al 0.000 0.000 0.500
# - D(E_F) (states/eV/atom) = 1.118
# - calculated volume (Å³ per atom) = 28.001
# - formation energy (meV/atom) = -115.8
# - crystal system = tetragonal
# - electronic total energy (eV per atom) = -4.5588


7.
# RbAs2SeF (PBE, relaxed)
data_RbAs2SeF
_symmetry_space_group_name_H-M 'P 4/m m m'
_symmetry_Int_Tables_number 123
_symmetry_space_group_name_Hall '-P 4 2'
_cell_length_a 4.922
_cell_length_b 4.922
_cell_length_c 7.455
_cell_angle_alpha 90.00
_cell_angle_beta 90.00
_cell_angle_gamma 90.00
loop_
_atom_site_label
_atom_site_type_symbol
_atom_site_fract_x
_atom_site_fract_y
_atom_site_fract_z
Rb1 Rb 0.000 0.000 0.000
As1 As 0.000 0.500 0.500
Se1 Se 0.000 0.000 0.500
F1 F 0.500 0.500 0.000
# - D(E_F) (states/eV/atom) = 0.573
# - calculated volume (Å³ per atom) = 36.118
# - crystal system = tetragonal
# - electronic total energy (eV per atom) = -3.3197


8.
# NiRuBr2 (PBE, relaxed)
data_NiRuBr2
_symmetry_space_group_name_H-M 'P 1 2/m 1'
_symmetry_Int_Tables_number 10
_cell_length_a 4.683
_cell_length_b 3.684
_cell_length_c 5.082
_cell_angle_alpha 90.00
_cell_angle_beta 91.92
_cell_angle_gamma 90.00
loop_
_symmetry_equiv_pos_as_xyz
'x,y,z'
'-x,-y,-z'
'-x,y,-z'
'x,-y,z'
loop_
_atom_site_label
_atom_site_type_symbol
_atom_site_fract_x
_atom_site_fract_y
_atom_site_fract_z
Ni1 Ni 0.000 0.000 0.000
Ru1 Ru 0.000 0.000 0.500
Br1 Br 0.258 0.500 0.743
# - D(E_F) (states/eV/atom) = 0.924
# - calculated volume (Å³ per atom) = 21.910
# - crystal system = monoclinic
# - electronic total energy (eV per atom) = -4.0726


9.
# SiAg2Pt (PBE, relaxed)
data_SiAg2Pt
_symmetry_space_group_name_H-M 'C 1 2/m 1'
_symmetry_Int_Tables_number 12
_cell_length_a 5.342
_cell_length_b 9.948
_cell_length_c 2.941
_cell_angle_alpha 90.00
_cell_angle_beta 122.36
_cell_angle_gamma 90.00
loop_
_symmetry_equiv_pos_as_xyz
'x,y,z'
'-x,-y,-z'
'-x,y,-z'
'x,-y,z'
'x+1/2,y+1/2,z'
'-x+1/2,-y+1/2,-z'
'-x+1/2,y+1/2,-z'
'x+1/2,-y+1/2,z'
loop_
_atom_site_label
_atom_site_type_symbol
_atom_site_fract_x
_atom_site_fract_y
_atom_site_fract_z
Si1 Si 0.000 0.000 0.000
Ag1 Ag 0.250 0.250 0.500
Pt1 Pt 0.000 0.500 0.000
# - D(E_F) (states/eV/atom) = 0.469
# - calculated volume (Å³ per atom) = 16.500
# - crystal system = monoclinic
# - electronic total energy (eV per atom) = -4.2318


10.
# Zn2TcPd (PBE, relaxed)
data_Zn2TcPd
_symmetry_space_group_name_H-M 'F m -3 m'
_symmetry_Int_Tables_number 225
_symmetry_space_group_name_Hall '-F 4 2 3'
_cell_length_a 6.145
_cell_length_b 6.145
_cell_length_c 6.145
_cell_angle_alpha 90.00
_cell_angle_beta 90.00
_cell_angle_gamma 90.00
loop_
_atom_site_label
_atom_site_type_symbol
_atom_site_fract_x
_atom_site_fract_y
_atom_site_fract_z
Zn1 Zn 0.250 0.250 0.250
Tc1 Tc 0.000 0.000 0.000
Pd1 Pd 0.000 0.000 0.500
# - D(E_F) (states/eV/atom) = 1.421
# - calculated volume (Å³ per atom) = 14.504
# - formation energy (meV/atom) = -15.2
# - crystal system = cubic
# - electronic total energy (eV per atom) = -4.5419


11.
# CeYHo5Er2 (PBE, relaxed)
data_CeYHo5Er2
_symmetry_space_group_name_H-M 'C m c 21'
_symmetry_Int_Tables_number 36
_cell_length_a 5.657
_cell_length_b 21.441
_cell_length_c 9.482
_cell_angle_alpha 90.00
_cell_angle_beta 90.00
_cell_angle_gamma 90.00
loop_
_symmetry_equiv_pos_as_xyz
'x,y,z'
'-x,-y,z+1/2'
'-x,y,z'
'x,-y,z+1/2'
'x+1/2,y+1/2,z'
'-x+1/2,-y+1/2,z+1/2'
'-x+1/2,y+1/2,z'
'x+1/2,-y+1/2,z+1/2'
loop_
_atom_site_label
_atom_site_type_symbol
_atom_site_fract_x
_atom_site_fract_y
_atom_site_fract_z
Ce1 Ce 0.000 0.192 0.000
Y1 Y 0.000 0.403 0.406
Ho1 Ho 0.000 0.013 0.992
Ho2 Ho 0.000 0.267 0.311
Ho3 Ho 0.000 0.306 0.694
Ho4 Ho 0.000 0.395 0.023
Ho5 Ho 0.000 0.471 0.726
Er1 Er 0.000 0.113 0.300
Er2 Er 0.000 0.135 0.684
# - D(E_F) (states/eV/atom) = 1.716
# - calculated volume (Å³ per atom) = 31.945
# - formation energy (meV/atom) = 177.0
# - crystal system = orthorhombic
# - electronic total energy (eV per atom) = -4.7577


12.
# SiP3 (PBE, relaxed)
data_SiP3
_symmetry_space_group_name_H-M 'P -6 m 2'
_symmetry_Int_Tables_number 187
_symmetry_space_group_name_Hall 'P -6 2'
_cell_length_a 2.6188
_cell_length_b 2.6188
_cell_length_c 10.0239
_cell_angle_alpha 90.00
_cell_angle_beta 90.00
_cell_angle_gamma 120.00
loop_
_atom_site_label
_atom_site_type_symbol
_atom_site_fract_x
_atom_site_fract_y
_atom_site_fract_z
Si1 Si 0.0000 0.0000 0.0000
P1 P 0.0000 0.0000 0.5000
P2 P 0.3333 0.6667 0.2378
# - D(E_F) (states/eV/atom) = 0.320
# - calculated volume (Å³ per atom) = 14.884
# - crystal system = hexagonal
# - electronic total energy (eV per atom) = -4.6926


- electronic total energy of number 1 (SnBRh3)?
  -6.3557 eV per atom